LiGa | PBE | relaxed

```
LiGa
1.0
-4.176 4.176 4.176
4.176 -4.176 4.176
4.176 4.176 -4.176
Li Ga
4 4
Direct
0.000 0.000 0.583
0.000 0.583 0.000
0.417 0.417 0.417
0.583 0.000 0.000
0.000 0.000 0.228
0.000 0.228 0.000
0.228 0.000 0.000
0.772 0.772 0.772
```

Output
space group	No. 217
ΔE_f	0.2779	eV per atom



RbCuTe2O | PBE | relaxed

```
RbCuTe2O
1.0
4.812 0.000 0.000
0.000 4.812 0.000
0.000 0.000 5.283
Rb Cu Te O
1 1 2 1
Direct
0.000 0.000 0.000
0.500 0.500 0.000
0.000 0.500 0.500
0.500 0.000 0.500
0.000 0.000 0.500
```

Output
space group	No. 123
formation energy from raw total energies	28.3	meV per atom



KAs | PBE | relaxed

```
KAs
1.0
-2.635 7.011 3.291
2.635 -7.011 3.291
2.635 7.011 -3.291
K As
3 3
Direct
0.000 0.000 0.000
0.130 0.836 0.295
0.541 0.836 0.705
0.642 0.142 0.500
0.695 0.336 0.359
0.977 0.336 0.641
```

Output
space group	No. 44
ΔE_f	-0.3556	eV per atom
ΔE to the lowest computed polymorph	108.2	meV per atom